DFT (PBE) results for a geometry-optimized MgTl12Pb7 structure.

a b c (Å): 8.724 8.724 8.724
angles (deg): 100.99 100.99 100.99
Element x y z (fractional)
Mg: 0.000 0.000 0.000
Tl: 0.760 0.240 0.500
Tl: 0.500 0.240 0.760
Tl: 0.921 0.667 0.666
Tl: 0.334 0.079 0.333
Tl: 0.760 0.500 0.240
Tl: 0.333 0.334 0.079
Tl: 0.667 0.666 0.921
Tl: 0.240 0.500 0.760
Tl: 0.666 0.921 0.667
Tl: 0.079 0.333 0.334
Tl: 0.500 0.760 0.240
Tl: 0.240 0.760 0.500
Pb: 0.316 0.906 0.905
Pb: 0.095 0.684 0.094
Pb: 0.094 0.095 0.684
Pb: 0.500 0.500 0.500
Pb: 0.906 0.905 0.316
Pb: 0.905 0.316 0.906
Pb: 0.684 0.094 0.095

Values from the calculation:
Size of the total moment (μB/f.u.): 0.00
Symmetry: R-3, No. 148
Energy relative to the elements (eV per atom): 0.015

***

DFT (PBE) results for a geometry-optimized YBeAu structure.

a b c (Å): 5.614 5.614 3.305
angles (deg): 72.88 72.88 34.24
Element x y z (fractional)
Y: 0.669 0.669 0.331
Be: 0.366 0.366 0.634
Au: 0.965 0.965 0.035

Values from the calculation:
Excess energy over the best structure of this formula in the dataset (meV per atom): 243.7
Size of the total moment (μB/f.u.): 0.00
Symmetry: I4mm, No. 107
Energy relative to the elements (eV per atom): -0.280